First-principles (PBE-GGA) data for a relaxed BaSn2PRu crystal, as listed in Alexandria.

Values from the calculation:
Energy in eV/atom: -2.995
Magnetization in μB/atom: 0.00
Energy of formation from the pure elements in meV/atom: 1928

Lattice parameters (Å, degrees): 6.0528 6.0528 4.9851 90.00 90.00 90.00
Closest atoms and distances in Å follow each position.
Atoms (fractional coordinates):
1 Ba 0.0000 0.0000 0.0000  2 Ru 2.49
2 Sn 0.0000 0.5000 0.0000  2 Ba 3.03
3 Sn 0.5000 0.0000 0.0000  2 Ba 3.03
4 P 0.5000 0.5000 0.5000  8 Sn 3.92, 4 Ru 4.28
5 Ru 0.0000 0.0000 0.5000  2 Ba 2.49